i:
Rb3V2Br9 | GGA-PBE | relaxed

- ρ: 3.78 g/cm3

Cell and atoms, written as CIF:
```
data_Rb3V2Br9
_cell_length_a 7.5777
_cell_length_b 7.5777
_cell_length_c 19.0602
_cell_angle_alpha 90.00
_cell_angle_beta 90.00
_cell_angle_gamma 120.00
_symmetry_space_group_name_H-M 'P 63/m m c'
_symmetry_Int_Tables_number 194
_symmetry_space_group_name_Hall '-P 6c 2c'
loop_
_atom_site_label
_atom_site_fract_x
_atom_site_fract_y
_atom_site_fract_z
Rb1 0.0000 0.0000 0.2500
Rb2 0.3333 0.6667 0.0632
V1 0.3333 0.6667 0.6656
Br1 0.0205 0.5103 0.7500
Br2 0.1744 0.3488 0.5933
```

ii:
Rb3V2Br9 | GGA-PBE | relaxed

- ρ: 3.75 g/cm3

Cell and atoms, written as CIF:
```
data_Rb3V2Br9
_cell_length_a 12.8963
_cell_length_b 12.8963
_cell_length_c 19.8973
_cell_angle_alpha 90.00
_cell_angle_beta 90.00
_cell_angle_gamma 120.00
_symmetry_space_group_name_H-M 'R -3 c'
_symmetry_Int_Tables_number 167
_symmetry_space_group_name_Hall '-R 3 2"c'
loop_
_atom_site_label
_atom_site_fract_x
_atom_site_fract_y
_atom_site_fract_z
Rb1 0.0000 0.3423 0.2500
V1 0.0000 0.0000 0.1693
Br1 0.0000 0.1583 0.7500
Br2 0.0014 0.1643 0.3988
```

In terms of stability, i leads; the second structure lies 1.2 kJ/mol of atoms higher.

i:
RbV2Br | GGA-PBE | relaxed

- ρ: 4.09 g/cm3

Cell and atoms, written as CIF:
```
data_RbV2Br
_cell_length_a 4.713
_cell_length_b 4.713
_cell_length_c 19.557
_cell_angle_alpha 90.00
_cell_angle_beta 90.00
_cell_angle_gamma 90.00
_symmetry_space_group_name_H-M 'I 41/a m d'
_symmetry_Int_Tables_number 141
loop_
_symmetry_equiv_pos_as_xyz
'x,y,z'
'-x,-y,-z'
'-y+1/4,x+3/4,z+1/4'
'y+1/4,-x+3/4,-z+1/4'
'-x+1/2,-y,z+1/2'
'x+1/2,y,-z+1/2'
'y+1/4,-x+1/4,z+3/4'
'-y+1/4,x+1/4,-z+3/4'
'x,-y,-z'
'-x,y,z'
'-y+1/4,-x+1/4,-z+3/4'
'y+1/4,x+1/4,z+3/4'
'-x+1/2,y,-z+1/2'
'x+1/2,-y,z+1/2'
'y+1/4,x+3/4,-z+1/4'
'-y+1/4,-x+3/4,z+1/4'
'x+1/2,y+1/2,z+1/2'
'-x+1/2,-y+1/2,-z+1/2'
'-y+3/4,x+1/4,z+3/4'
'y+3/4,-x+1/4,-z+3/4'
'-x,-y+1/2,z'
'x,y+1/2,-z'
'y+3/4,-x+3/4,z+1/4'
'-y+3/4,x+3/4,-z+1/4'
'x+1/2,-y+1/2,-z+1/2'
'-x+1/2,y+1/2,z+1/2'
'-y+3/4,-x+3/4,-z+1/4'
'y+3/4,x+3/4,z+1/4'
'-x,y+1/2,-z'
'x,-y+1/2,z'
'y+3/4,x+1/4,-z+3/4'
'-y+3/4,-x+1/4,z+3/4'
loop_
_atom_site_label
_atom_site_fract_x
_atom_site_fract_y
_atom_site_fract_z
Rb1 0.000 0.250 0.375
V1 0.000 0.000 0.000
Br1 0.000 0.250 0.875
```

ii:
RbV2Br | GGA-PBE | relaxed

- ρ: 3.88 g/cm3

Cell and atoms, written as CIF:
```
data_RbV2Br
_cell_length_a 7.704
_cell_length_b 7.704
_cell_length_c 7.704
_cell_angle_alpha 90.00
_cell_angle_beta 90.00
_cell_angle_gamma 90.00
_symmetry_space_group_name_H-M 'F m -3 m'
_symmetry_Int_Tables_number 225
_symmetry_space_group_name_Hall '-F 4 2 3'
loop_
_atom_site_label
_atom_site_fract_x
_atom_site_fract_y
_atom_site_fract_z
Rb1 0.000 0.000 0.000
V1 0.250 0.250 0.250
Br1 0.000 0.000 0.500
```

In terms of stability, i leads; the second structure lies 43.7 kJ/mol of atoms higher.

i:
RbV3Br | GGA-PBE | relaxed

- ρ: 4.42 g/cm3

Cell and atoms, written as CIF:
```
data_RbV3Br
_cell_length_a 4.926
_cell_length_b 4.926
_cell_length_c 4.926
_cell_angle_alpha 90.00
_cell_angle_beta 90.00
_cell_angle_gamma 90.00
_symmetry_space_group_name_H-M 'P m -3 m'
_symmetry_Int_Tables_number 221
_symmetry_space_group_name_Hall '-P 4 2 3'
loop_
_atom_site_label
_atom_site_fract_x
_atom_site_fract_y
_atom_site_fract_z
Rb1 0.000 0.000 0.000
V1 0.000 0.500 0.500
Br1 0.500 0.500 0.500
```

ii:
RbV3Br | GGA-PBE | relaxed

- ρ: 5.25 g/cm3

Cell and atoms, written as CIF:
```
data_RbV3Br
_cell_length_a 4.651
_cell_length_b 4.651
_cell_length_c 4.651
_cell_angle_alpha 90.00
_cell_angle_beta 90.00
_cell_angle_gamma 90.00
_symmetry_space_group_name_H-M 'P m -3 m'
_symmetry_Int_Tables_number 221
_symmetry_space_group_name_Hall '-P 4 2 3'
loop_
_atom_site_label
_atom_site_fract_x
_atom_site_fract_y
_atom_site_fract_z
Rb1 0.000 0.000 0.000
V1 0.000 0.000 0.500
Br1 0.500 0.500 0.500
```

In terms of stability, i leads; the second structure lies 126.0 kJ/mol of atoms higher.

i:
Rb2WBr | GGA-PBE | relaxed

- ρ: 4.30 g/cm3

Cell and atoms, written as CIF:
```
data_Rb2WBr
_cell_length_a 8.754
_cell_length_b 8.754
_cell_length_c 8.754
_cell_angle_alpha 90.00
_cell_angle_beta 90.00
_cell_angle_gamma 90.00
_symmetry_space_group_name_H-M 'F m -3 m'
_symmetry_Int_Tables_number 225
_symmetry_space_group_name_Hall '-F 4 2 3'
loop_
_atom_site_label
_atom_site_fract_x
_atom_site_fract_y
_atom_site_fract_z
Rb1 0.250 0.250 0.250
W1 0.000 0.000 0.000
Br1 0.000 0.000 0.500
```

ii:
Rb2WBr | GGA-PBE | relaxed

- ρ: 3.48 g/cm3

Cell and atoms, written as CIF:
```
data_Rb2WBr
_cell_length_a 13.077
_cell_length_b 13.077
_cell_length_c 4.849
_cell_angle_alpha 90.00
_cell_angle_beta 90.00
_cell_angle_gamma 90.00
_symmetry_space_group_name_H-M 'I -4 2 d'
_symmetry_Int_Tables_number 122
_symmetry_space_group_name_Hall 'I -4 2bw'
loop_
_atom_site_label
_atom_site_fract_x
_atom_site_fract_y
_atom_site_fract_z
Rb1 0.077 0.750 0.125
W1 0.000 0.000 0.500
Br1 0.000 0.000 0.000
```

In terms of stability, i leads; the second structure lies 14.5 kJ/mol of atoms higher.